Computed, not measured: Ca3CeDy3Se8 after structural relaxation at the PBE level of DFT.

The raw total energy comes out at -5.458 eV per atom.

It has space group R-3m (No. 166, hexagonal axes), with a = 8.2348 Å, b = 8.2348 Å, c = 20.5317 Å, α = 90.00°, β = 90.00° and γ = 120.00°. The inequivalent atoms are Ca at (0.0000, 0.5000, 0.0000), Ce at (0.0000, 0.0000, 0.5000), Dy at (0.0000, 0.5000, 0.5000), Se at (0.0000, 0.0000, 0.2482) and Se at (0.0086, 0.5043, 0.7511).